No. 1
# LiPrZnS3 (PBE-GGA, optimized geometry)
# Polymorph energy (0 for the lowest one)   66 meV per atom
data_LiPrZnS3
_symmetry_space_group_name_H-M 'C m c m'
_symmetry_Int_Tables_number 63
_symmetry_space_group_name_Hall '-C 2c 2'
_cell_length_a 3.943
_cell_length_b 12.205
_cell_length_c 11.066
_cell_angle_alpha 90.00
_cell_angle_beta 90.00
_cell_angle_gamma 90.00
loop_
_atom_site_label
_atom_site_type_symbol
_atom_site_fract_x
_atom_site_fract_y
_atom_site_fract_z
Li1 Li 0.000 0.235 0.250
Pr1 Pr 0.000 0.000 0.000
Zn1 Zn 0.000 0.472 0.750
S1 S 0.000 0.088 0.750
S2 S 0.000 0.354 0.587

No. 2
# LiPrSb (PBE-GGA, optimized geometry)
# Polymorph energy (0 for the lowest one)   219 meV per atom
data_LiPrSb
_symmetry_space_group_name_H-M 'F -4 3 m'
_symmetry_Int_Tables_number 216
_symmetry_space_group_name_Hall 'F -4 2 3'
_cell_length_a 6.682
_cell_length_b 6.682
_cell_length_c 6.682
_cell_angle_alpha 90.00
_cell_angle_beta 90.00
_cell_angle_gamma 90.00
loop_
_atom_site_label
_atom_site_type_symbol
_atom_site_fract_x
_atom_site_fract_y
_atom_site_fract_z
Li1 Li 0.000 0.000 0.000
Pr1 Pr 0.250 0.250 0.750
Sb1 Sb 0.250 0.250 0.250

No. 3
# LiPrSb2 (PBE-GGA, optimized geometry)
# Electronic total energy   -4.592 eV/atom
data_LiPrSb2
_symmetry_space_group_name_H-M 'P 4/n m m'
_symmetry_Int_Tables_number 129
_cell_length_a 4.349
_cell_length_b 4.349
_cell_length_c 10.980
_cell_angle_alpha 90.00
_cell_angle_beta 90.00
_cell_angle_gamma 90.00
loop_
_symmetry_equiv_pos_as_xyz
'x,y,z'
'-x,-y,-z'
'-y+1/2,x,z'
'y+1/2,-x,-z'
'-x+1/2,-y+1/2,z'
'x+1/2,y+1/2,-z'
'y,-x+1/2,z'
'-y,x+1/2,-z'
'x+1/2,-y,-z'
'-x+1/2,y,z'
'-y,-x,-z'
'y,x,z'
'-x,y+1/2,-z'
'x,-y+1/2,z'
'y+1/2,x+1/2,-z'
'-y+1/2,-x+1/2,z'
loop_
_atom_site_label
_atom_site_type_symbol
_atom_site_fract_x
_atom_site_fract_y
_atom_site_fract_z
Li1 Li 0.250 0.750 0.000
Pr1 Pr 0.250 0.250 0.264
Sb1 Sb 0.250 0.250 0.839
Sb2 Sb 0.250 0.750 0.500

No. 4
# LiPrSb (PBE-GGA, optimized geometry)
# Polymorph energy (0 for the lowest one)   548 meV per atom
data_LiPrSb
_symmetry_space_group_name_H-M 'F -4 3 m'
_symmetry_Int_Tables_number 216
_symmetry_space_group_name_Hall 'F -4 2 3'
_cell_length_a 7.250
_cell_length_b 7.250
_cell_length_c 7.250
_cell_angle_alpha 90.00
_cell_angle_beta 90.00
_cell_angle_gamma 90.00
loop_
_atom_site_label
_atom_site_type_symbol
_atom_site_fract_x
_atom_site_fract_y
_atom_site_fract_z
Li1 Li 0.000 0.000 0.000
Pr1 Pr 0.250 0.250 0.250
Sb1 Sb 0.000 0.000 0.500

No. 5
# SrLiPrSe3 (PBE-GGA, optimized geometry)
# Polymorph energy (0 for the lowest one)   0 meV per atom
data_SrLiPrSe3
_symmetry_space_group_name_H-M 'C 1 2/m 1'
_symmetry_Int_Tables_number 12
_symmetry_space_group_name_Hall '-C 2y'
_cell_length_a 18.192
_cell_length_b 4.236
_cell_length_c 8.763
_cell_angle_alpha 90.00
_cell_angle_beta 104.48
_cell_angle_gamma 90.00
loop_
_atom_site_label
_atom_site_type_symbol
_atom_site_fract_x
_atom_site_fract_y
_atom_site_fract_z
Sr1 Sr 0.131 0.000 0.065
Li1 Li 0.000 0.500 0.301
Pr1 Pr 0.167 0.000 0.594
Se1 Se 0.000 0.000 0.500
Se2 Se 0.000 0.500 0.000
Se3 Se 0.164 0.500 0.350
Se4 Se 0.177 0.500 0.830

No. 6
# SrLiPrSe3 (PBE-GGA, optimized geometry)
# Polymorph energy (0 for the lowest one)   8 meV per atom
data_SrLiPrSe3
_symmetry_space_group_name_H-M 'C m c m'
_symmetry_Int_Tables_number 63
_symmetry_space_group_name_Hall '-C 2c 2'
_cell_length_a 4.255
_cell_length_b 13.660
_cell_length_c 11.161
_cell_angle_alpha 90.00
_cell_angle_beta 90.00
_cell_angle_gamma 90.00
loop_
_atom_site_label
_atom_site_type_symbol
_atom_site_fract_x
_atom_site_fract_y
_atom_site_fract_z
Sr1 Sr 0.000 0.248 0.250
Li1 Li 0.000 0.476 0.750
Pr1 Pr 0.000 0.000 0.000
Se1 Se 0.000 0.082 0.750
Se2 Se 0.000 0.360 0.575

No. 7
# SrLiPrSe3 (PBE-GGA, optimized geometry)
# Polymorph energy (0 for the lowest one)   0 meV per atom
data_SrLiPrSe3
_symmetry_space_group_name_H-M 'P n m a'
_symmetry_Int_Tables_number 62
_symmetry_space_group_name_Hall '-P 2ac 2n'
_cell_length_a 11.225
_cell_length_b 4.258
_cell_length_c 13.577
_cell_angle_alpha 90.00
_cell_angle_beta 90.00
_cell_angle_gamma 90.00
loop_
_atom_site_label
_atom_site_type_symbol
_atom_site_fract_x
_atom_site_fract_y
_atom_site_fract_z
Sr1 Sr 0.207 0.250 0.000
Li1 Li 0.230 0.750 0.229
Pr1 Pr 0.020 0.750 0.731
Se1 Se 0.046 0.750 0.121
Se2 Se 0.108 0.250 0.601
Se3 Se 0.238 0.250 0.332

No. 8
# LiPrZnSe3 (PBE-GGA, optimized geometry)
# Polymorph energy (0 for the lowest one)   33 meV per atom
data_LiPrZnSe3
_symmetry_space_group_name_H-M 'P n m a'
_symmetry_Int_Tables_number 62
_symmetry_space_group_name_Hall '-P 2ac 2n'
_cell_length_a 11.358
_cell_length_b 4.084
_cell_length_c 13.031
_cell_angle_alpha 90.00
_cell_angle_beta 90.00
_cell_angle_gamma 90.00
loop_
_atom_site_label
_atom_site_type_symbol
_atom_site_fract_x
_atom_site_fract_y
_atom_site_fract_z
Li1 Li 0.222 0.250 0.027
Pr1 Pr 0.001 0.250 0.262
Zn1 Zn 0.250 0.250 0.725
Se1 Se 0.078 0.750 0.110
Se2 Se 0.091 0.250 0.597
Se3 Se 0.244 0.750 0.840